(1)
Compound: MoAs2Br
Source: the Alexandria database
Functional: PBE
Structure: relaxed

Cell: 3.295 4.496 5.052 Å, 90.00 90.00 90.00°
Positions (direct):
As1 0.500 0.500 0.000
Mo1 0.000 0.500 0.500
As2 0.000 0.000 0.000
Br1 0.500 0.000 0.500

Total energy   -4.75 eV/atom
M_tot   1.7 μB per formula unit
Energy above the lowest structure with this stoichiometry   742 meV per atom
Formation energy without anion corrections   0.70 eV per atom



(2)
Compound: MoAsBr
Source: the Alexandria database
Functional: PBE
Structure: relaxed

Cell: 6.828 6.828 6.828 Å, 153.41 153.41 37.96°
Positions (direct):
As1 0.047 0.047 0.000
Mo1 0.660 0.660 0.000
Br1 0.293 0.293 0.000

Total energy   -5.64 eV/atom
M_tot   0.0 μB per formula unit
Energy above the lowest structure with this stoichiometry   72 meV per atom
Formation energy without anion corrections   0.07 eV per atom



(3)
Compound: MoAs2Br
Source: the Alexandria database
Functional: PBE
Structure: relaxed

Cell: 5.180 5.180 3.256 Å, 90.00 90.00 119.44°
Positions (direct):
Br1 0.500 0.000 0.500
As1 0.000 0.000 0.000
Mo1 0.000 0.500 0.500
As2 0.500 0.500 0.000

Total energy   -4.76 eV/atom
M_tot   1.1 μB per formula unit
Energy above the lowest structure with this stoichiometry   729 meV per atom
Formation energy without anion corrections   0.69 eV per atom



(4)
Compound: MoAs3Br
Source: the Alexandria database
Functional: PBE
Structure: relaxed

Cell: 4.901 4.901 4.901 Å, 90.00 90.00 90.00°
Positions (direct):
As1 0.500 0.000 0.000
Br1 0.500 0.500 0.500
As2 0.000 0.000 0.500
As3 0.000 0.500 0.000
Mo1 0.000 0.000 0.000

Total energy   -5.02 eV/atom
M_tot   0.0 μB per formula unit
Energy above the lowest structure with this stoichiometry   0 meV per atom
Formation energy without anion corrections   0.27 eV per atom



> Number 3 is which compound?

MoAs2Br